Model w:
First-principles (PBE) data for a relaxed structure of MnReSi2, as listed in the Alexandria database.

Its space-group type is No. 99. For the total magnetization, the calculation gives 1.549 μB per cell. The calculation puts the volume at 12.8 Å³ per atom.

Unit cell a=3.106 b=3.106 c=5.287 alpha=90.00 beta=90.00 gamma=90.00
Fractional positions:
Mn: 0.000 0.000 0.000
Re: 0.500 0.500 0.312
Si: 0.000 0.000 0.537
Si: 0.500 0.500 0.804

Model x:
First-principles (PBE) data for a relaxed structure of MnReSi2, as listed in the Alexandria database.

Its space-group type is No. 65. For the total magnetization, the calculation gives 1.817 μB per cell. The calculation puts the volume at 13.2 Å³ per atom.

Unit cell a=2.769 b=2.769 c=7.564 alpha=90.00 beta=90.00 gamma=114.03
Fractional positions:
Mn: 0.000 0.000 0.000
Re: 0.000 0.000 0.500
Si: 0.500 0.500 0.238
Si: 0.500 0.500 0.762

Winner for stability: model w

Model w:
First-principles (PBE) data for a relaxed structure of MnRe3Si, as listed in the Alexandria database.

Its space-group type is No. 221. For the total magnetization, the calculation gives 0.000 μB per cell. The calculation puts the volume at 16.4 Å³ per atom.

Unit cell a=4.346 b=4.346 c=4.346 alpha=90.00 beta=90.00 gamma=90.00
Fractional positions:
Mn: 0.000 0.000 0.000
Re: 0.000 0.500 0.500
Re: 0.500 0.000 0.500
Re: 0.500 0.500 0.000
Si: 0.500 0.500 0.500

Model x:
First-principles (PBE) data for a relaxed structure of MnRe3Si, as listed in the Alexandria database.

Its space-group type is No. 221. For the total magnetization, the calculation gives 0.004 μB per cell. The calculation puts the volume at 17.1 Å³ per atom.

Unit cell a=4.405 b=4.405 c=4.405 alpha=90.00 beta=90.00 gamma=90.00
Fractional positions:
Mn: 0.000 0.000 0.000
Re: 0.000 0.000 0.500
Re: 0.000 0.500 0.000
Re: 0.500 0.000 0.000
Si: 0.500 0.500 0.500

Winner for stability: model w

Model w:
First-principles (PBE) data for a relaxed structure of MnReSn2, as listed in the Alexandria database.

Its space-group type is No. 122. For the total magnetization, the calculation gives 9.112 μB per cell. The calculation puts the volume at 20.4 Å³ per atom.

Unit cell a=6.034 b=6.034 c=6.034 alpha=103.74 beta=103.74 gamma=121.66
Fractional positions:
Mn: 0.000 0.000 0.000
Mn: 0.750 0.250 0.500
Re: 0.250 0.750 0.500
Re: 0.500 0.500 0.000
Sn: 0.128 0.625 0.003
Sn: 0.375 0.378 0.503
Sn: 0.622 0.125 0.997
Sn: 0.875 0.872 0.497

Model x:
First-principles (PBE) data for a relaxed structure of MnReSn2, as listed in the Alexandria database.

Its space-group type is No. 225. For the total magnetization, the calculation gives 2.924 μB per cell. The calculation puts the volume at 17.8 Å³ per atom.

Unit cell a=4.650 b=4.650 c=4.650 alpha=60.00 beta=60.00 gamma=60.00
Fractional positions:
Mn: 0.000 0.000 0.000
Re: 0.500 0.500 0.500
Sn: 0.250 0.250 0.250
Sn: 0.750 0.750 0.750

Winner for stability: model x

Model w:
First-principles (PBE) data for a relaxed structure of SrMnRe, as listed in the Alexandria database.

Its space-group type is No. 216. For the total magnetization, the calculation gives 2.058 μB per cell. The calculation puts the volume at 23.3 Å³ per atom.

Unit cell a=4.622 b=4.622 c=4.622 alpha=60.00 beta=60.00 gamma=60.00
Fractional positions:
Sr: 0.000 0.000 0.000
Mn: 0.500 0.500 0.500
Re: 0.250 0.250 0.250

Model x:
First-principles (PBE) data for a relaxed structure of SrMnRe, as listed in the Alexandria database.

Its space-group type is No. 187. For the total magnetization, the calculation gives 3.563 μB per cell. The calculation puts the volume at 20.0 Å³ per atom.

Unit cell a=4.933 b=4.933 c=2.851 alpha=90.00 beta=90.00 gamma=120.00
Fractional positions:
Sr: 0.000 0.000 0.000
Mn: 0.667 0.333 0.500
Re: 0.333 0.667 0.500

Winner for stability: model x